Below is crystalline TaTeRhO6 at its relaxed geometry, with properties calculated at the PBE level.

Cell and atoms, written as POSCAR:
```
TaTeRhO6
1.0
5.392 0.000 0.000
-2.696 4.670 0.000
0.000 0.000 8.692
Ta Te Rh O
2 2 2 12
Direct
0.333 0.667 0.250 Ta
0.667 0.333 0.750 Ta
0.667 0.333 0.250 Te
0.333 0.667 0.750 Te
0.000 0.000 0.000 Rh
0.000 0.000 0.500 Rh
0.654 0.680 0.126 O
0.026 0.346 0.126 O
0.346 0.026 0.626 O
0.974 0.654 0.874 O
0.320 0.346 0.374 O
0.026 0.680 0.374 O
0.680 0.026 0.874 O
0.654 0.974 0.374 O
0.974 0.320 0.626 O
0.320 0.974 0.126 O
0.680 0.654 0.626 O
0.346 0.320 0.874 O
```

Values from the calculation:
Formation energy without anion corrections: -1.419 eV per atom
Total moment: 0.00 Bohr magnetons per cell
Total DFT energy (no corrections): -129.73 eV/cell

Below is crystalline Cs2PbAu2Br6 at its relaxed geometry, with properties calculated at the PBE level.

Cell and atoms, written as POSCAR:
```
Cs2PbAu2Br6
1.0
8.336 0.000 0.000
-4.168 7.419 -0.441
0.000 -4.749 7.750
Cs Pb Au Br
2 1 2 6
Direct
0.732 0.464 0.270 Cs
0.268 0.536 0.730 Cs
0.500 0.000 0.500 Pb
0.027 0.054 0.802 Au
0.973 0.946 0.198 Au
0.740 0.481 0.672 Br
0.257 0.934 0.190 Br
0.323 0.066 0.810 Br
0.743 0.066 0.810 Br
0.677 0.934 0.190 Br
0.260 0.519 0.328 Br
```

Values from the calculation:
Formation energy without anion corrections: -0.919 eV per atom
Total moment: 0.00 Bohr magnetons per cell
Total DFT energy (no corrections): -32.12 eV/cell